First-principles (GGA-PBE) data for a relaxed Y3HoO6 crystal, as listed in the Alexandria database.

Results
Crystal system: trigonal
Final energy: -178.4 eV per cell
Total moment: 0.000 μB/atom
V: 305.7 Å³/cell

abc: 6.7390 6.7390 6.7390
angles: 91.54 91.54 91.54
Last column: nearest neighbours and their distance in Å.
Element x y z (fractional)
1 Y 0.0564 0.5639 0.7514  6 O 2.24-2.38
2 Y 0.2486 0.9436 0.4361  6 O 2.24-2.38
3 Y 0.4361 0.2486 0.9436  6 O 2.24-2.38
4 Y 0.5639 0.7514 0.0564  6 O 2.24-2.38
5 Y 0.7514 0.0564 0.5639  6 O 2.24-2.38
6 Y 0.9436 0.4361 0.2486  6 O 2.24-2.38
7 Ho 0.0000 0.0000 0.0000  6 O 2.24
8 Ho 0.5000 0.5000 0.5000  6 O 2.27
9 O 0.0310 0.8991 0.6837  1 Ho 2.24, 3 Y 2.27-2.33
10 O 0.1009 0.3163 0.9690  1 Ho 2.24, 3 Y 2.27-2.33
11 O 0.1854 0.5939 0.4295  3 Y 2.24-2.38, 1 Ho 2.27
12 O 0.3163 0.9690 0.1009  1 Ho 2.24, 3 Y 2.27-2.33
13 O 0.4061 0.5705 0.8146  3 Y 2.24-2.38, 1 Ho 2.27
14 O 0.4295 0.1854 0.5939  3 Y 2.24-2.38, 1 Ho 2.27
15 O 0.5705 0.8146 0.4061  3 Y 2.24-2.38, 1 Ho 2.27
16 O 0.5939 0.4295 0.1854  3 Y 2.24-2.38, 1 Ho 2.27
17 O 0.6837 0.0310 0.8991  1 Ho 2.24, 3 Y 2.27-2.33
18 O 0.8146 0.4061 0.5705  3 Y 2.24-2.38, 1 Ho 2.27
19 O 0.8991 0.6837 0.0310  1 Ho 2.24, 3 Y 2.27-2.33
20 O 0.9690 0.1009 0.3163  1 Ho 2.24, 3 Y 2.27-2.33

First-principles (GGA-PBE) data for a relaxed VGeBi3 crystal, as listed in the Alexandria database.

Results
ΔH_f (0 K): 570 meV per atom
Crystal system: cubic
Final energy: -22.5 eV per cell
Total moment: 0.300 μB/atom
V: 147.8 Å³/cell

abc: 5.2873 5.2873 5.2873
angles: 90.00 90.00 90.00
Last column: nearest neighbours and their distance in Å.
Element x y z (fractional)
1 V 0.0000 0.0000 0.0000  6 Bi 2.64
2 Ge 0.5000 0.5000 0.5000  12 Bi 3.74
3 Bi 0.0000 0.0000 0.5000  2 V 2.64
4 Bi 0.0000 0.5000 0.0000  2 V 2.64
5 Bi 0.5000 0.0000 0.0000  2 V 2.64

First-principles (GGA-PBE) data for a relaxed FeCo crystal, as listed in the Alexandria database.

Results
ΔH_f (0 K): -20 meV per atom
Crystal system: orthorhombic
Final energy: -62.4 eV per cell
Total moment: 2.221 μB/atom
V: 91.7 Å³/cell

abc: 3.9958 4.9316 4.9316
angles: 109.29 90.00 90.00
Last column: nearest neighbours and their distance in Å.
Element x y z (fractional)
1 Fe 0.0000 0.0000 0.0000  2 Co 2.44, 6 Fe 2.46-2.47
2 Fe 0.0000 0.9996 0.5015  6 Co 2.45-2.47, 2 Fe 2.46-2.47
3 Fe 0.0000 0.5015 0.9996  6 Co 2.45-2.47, 2 Fe 2.46-2.47
4 Fe 0.5000 0.2544 0.2544  6 Co 2.44-2.48, 2 Fe 2.47
5 Co 0.0000 0.4984 0.4984  6 Fe 2.44-2.47, 2 Co 2.48
6 Co 0.5000 0.2549 0.7517  6 Fe 2.45-2.48, 2 Co 2.46-2.47
7 Co 0.5000 0.7517 0.2549  6 Fe 2.45-2.48, 2 Co 2.46-2.47
8 Co 0.5000 0.7559 0.7559  2 Fe 2.44, 6 Co 2.46-2.48

First-principles (GGA-PBE) data for a relaxed KFe2I6 crystal, as listed in the Alexandria database.

Results
Crystal system: monoclinic
Final energy: -62.5 eV per cell
Total moment: 1.000 μB/atom
V: 856.0 Å³/cell

abc: 10.8268 10.8268 7.4258
angles: 97.36 97.36 90.22
Last column: nearest neighbours and their distance in Å.
Element x y z (fractional)
1 K 0.1250 0.8750 0.7500  6 I 3.56-3.75
2 K 0.8750 0.1250 0.2500  6 I 3.56-3.75
3 Fe 0.2238 0.3711 0.7376  4 I 2.53-2.67
4 Fe 0.3711 0.2238 0.2376  4 I 2.53-2.67
5 Fe 0.6289 0.7762 0.7624  4 I 2.53-2.67
6 Fe 0.7762 0.6289 0.2624  4 I 2.53-2.67
7 I 0.0476 0.2056 0.6914  1 Fe 2.57
8 I 0.1660 0.5753 0.9089  1 Fe 2.53
9 I 0.2056 0.0476 0.1914  1 Fe 2.57
10 I 0.2839 0.4235 0.4180  2 Fe 2.64-2.67
11 I 0.4235 0.2839 0.9180  2 Fe 2.64-2.67
12 I 0.4247 0.8340 0.5911  1 Fe 2.53
13 I 0.5753 0.1660 0.4089  1 Fe 2.53
14 I 0.5765 0.7161 0.0820  2 Fe 2.64-2.67
15 I 0.7161 0.5765 0.5820  2 Fe 2.64-2.67
16 I 0.7944 0.9524 0.8086  1 Fe 2.57
17 I 0.8340 0.4247 0.0911  1 Fe 2.53
18 I 0.9524 0.7944 0.3086  1 Fe 2.57

First-principles (GGA-PBE) data for a relaxed Na2Sr2Ca7 crystal, as listed in the Alexandria database.

Results
ΔH_f (0 K): 118 meV per atom
Crystal system: monoclinic
Final energy: -18.7 eV per cell
Total moment: 0.000 μB/atom
V: 490.0 Å³/cell

abc: 8.6151 8.6151 7.1021
angles: 104.38 104.38 79.07
Last column: nearest neighbours and their distance in Å.
Element x y z (fractional)
1 Na 0.0168 0.0168 0.2517  6 Ca 3.38-3.62, 2 Na 3.46-3.70
2 Na 0.9832 0.9832 0.7483  6 Ca 3.38-3.62, 2 Na 3.46-3.70
3 Sr 0.3082 0.6918 0.0000  2 Na 3.80, 6 Ca 4.13-4.24, 1 Sr 4.21
4 Sr 0.6918 0.3082 0.0000  2 Na 3.80, 6 Ca 4.13-4.24, 1 Sr 4.21
5 Ca 0.0097 0.6411 0.3529  2 Na 3.50-3.55, 3 Ca 3.63-3.82
6 Ca 0.2422 0.2422 0.1280  2 Na 3.38-3.62, 1 Ca 3.59
7 Ca 0.3589 0.9903 0.6471  2 Na 3.50-3.55, 3 Ca 3.63-3.82
8 Ca 0.5000 0.5000 0.5000  2 Ca 3.59
9 Ca 0.6411 0.0097 0.3529  2 Na 3.50-3.55, 3 Ca 3.63-3.82
10 Ca 0.7578 0.7578 0.8720  2 Na 3.38-3.62, 1 Ca 3.59
11 Ca 0.9903 0.3589 0.6471  2 Na 3.50-3.55, 3 Ca 3.63-3.82

First-principles (GGA-PBE) data for a relaxed Pr3PSeCl crystal, as listed in the Alexandria database.

Results
Crystal system: monoclinic
Final energy: -68.7 eV per cell
Total moment: 0.153 μB/atom
V: 365.1 Å³/cell

abc: 8.5983 4.1530 10.2337
angles: 90.00 92.59 90.00
Last column: nearest neighbours and their distance in Å.
Element x y z (fractional)
1 Pr 0.1122 0.2500 0.3583  3 P 2.90-2.93, 2 Se 3.07
2 Pr 0.1586 0.2500 0.9204  2 Cl 2.84, 1 P 2.85
3 Pr 0.3667 0.7500 0.6336  1 Cl 2.88, 2 P 2.92, 3 Se 3.00-3.06
4 Pr 0.6333 0.2500 0.3664  1 Cl 2.88, 2 P 2.92, 3 Se 3.00-3.06
5 Pr 0.8414 0.7500 0.0796  2 Cl 2.84, 1 P 2.85
6 Pr 0.8878 0.7500 0.6417  3 P 2.90-2.93, 2 Se 3.07
7 P 0.1288 0.2500 0.6424  6 Pr 2.85-2.93
8 P 0.8712 0.7500 0.3576  6 Pr 2.85-2.93
9 Se 0.3726 0.7500 0.3403  5 Pr 3.00-3.07
10 Se 0.6274 0.2500 0.6597  5 Pr 3.00-3.07
11 Cl 0.3832 0.7500 0.9149  3 Pr 2.84-2.88
12 Cl 0.6168 0.2500 0.0851  3 Pr 2.84-2.88

First-principles (GGA-PBE) data for a relaxed Tb3InPd crystal, as listed in the Alexandria database.

Results
ΔH_f (0 K): -431 meV per atom
Crystal system: monoclinic
Final energy: -95.9 eV per cell
Total moment: 0.000 μB/atom
V: 569.5 Å³/cell

abc: 8.7748 8.7748 7.4993
angles: 90.01 90.01 80.52
Last column: nearest neighbours and their distance in Å.
Element x y z (fractional)
1 Tb 0.0286 0.1923 0.0955  2 Pd 2.88-2.93, 1 In 3.19
2 Tb 0.0662 0.4340 0.7153  3 Pd 2.85-3.04
3 Tb 0.1923 0.0286 0.5955  2 Pd 2.88-2.93, 1 In 3.19
4 Tb 0.3078 0.4719 0.0955  2 Pd 2.87-2.93, 1 In 3.19
5 Tb 0.4340 0.0662 0.2153  3 Pd 2.85-3.04
6 Tb 0.4719 0.3078 0.5955  2 Pd 2.87-2.93, 1 In 3.19
7 Tb 0.5281 0.6922 0.4045  2 Pd 2.87-2.93, 1 In 3.19
8 Tb 0.5660 0.9338 0.7847  3 Pd 2.85-3.04
9 Tb 0.6922 0.5281 0.9045  2 Pd 2.87-2.93, 1 In 3.19
10 Tb 0.8077 0.9714 0.4045  2 Pd 2.88-2.93, 1 In 3.19
11 Tb 0.9338 0.5660 0.2847  3 Pd 2.85-3.04
12 Tb 0.9714 0.8077 0.9045  2 Pd 2.88-2.93, 1 In 3.19
13 In 0.1812 0.8188 0.2500  8 Tb 3.19-3.53
14 In 0.3184 0.6816 0.7500  8 Tb 3.19-3.53
15 In 0.6816 0.3184 0.2500  8 Tb 3.19-3.53
16 In 0.8188 0.1812 0.7500  8 Tb 3.19-3.53
17 Pd 0.1909 0.3098 0.3845  7 Tb 2.85-3.04
18 Pd 0.3098 0.1909 0.8845  7 Tb 2.85-3.04
19 Pd 0.6902 0.8091 0.1155  7 Tb 2.85-3.04
20 Pd 0.8091 0.6902 0.6155  7 Tb 2.85-3.04

First-principles (GGA-PBE) data for a relaxed ZnTcRh2 crystal, as listed in the Alexandria database.

Results
ΔH_f (0 K): -165 meV per atom
Crystal system: orthorhombic
Final energy: -27.0 eV per cell
Total moment: 0.000 μB/atom
V: 56.6 Å³/cell

abc: 2.7606 3.7443 5.4713
angles: 90.00 90.00 90.00
Last column: nearest neighbours and their distance in Å.
Element x y z (fractional)
1 Zn 0.0000 0.0000 0.0000  8 Rh 2.70, 2 Tc 2.74, 2 Zn 2.76
2 Tc 0.0000 0.0000 0.5000  8 Rh 2.69, 2 Zn 2.74, 2 Tc 2.76
3 Rh 0.5000 0.5000 0.2517  4 Tc 2.69, 4 Zn 2.70, 4 Rh 2.72-2.76
4 Rh 0.5000 0.5000 0.7483  4 Tc 2.69, 4 Zn 2.70, 4 Rh 2.72-2.76

The following DOS at the Fermi energy values (in states/eV/atom) correspond, in order, to the records above: 0.000, 1.093, 0.825, 0.538, 1.153, 0.466, 0.975, 0.778.